## TaMnIn2Au (PBEsol)

Data for a relaxed TaMnIn2Au crystal.

Cell and atoms, written as CIF:
```
data_TaMnIn2Au
_symmetry_space_group_name_H-M 'P 4/m m m'
_symmetry_Int_Tables_number 123
_symmetry_space_group_name_Hall '-P 4 2'
_cell_length_a 5.308
_cell_length_b 5.308
_cell_length_c 4.961
_cell_angle_alpha 90.00
_cell_angle_beta 90.00
_cell_angle_gamma 90.00
loop_
_atom_site_label
_atom_site_type_symbol
_atom_site_fract_x
_atom_site_fract_y
_atom_site_fract_z
Ta1 Ta 0.000 0.000 0.000
Mn1 Mn 0.500 0.500 0.500
In1 In 0.000 0.500 0.000
Au1 Au 0.000 0.000 0.500
```

## Properties
DOS at the Fermi energy	4.380	states/eV per cell
final energy	-25.95	eV for the cell shown
density	7.871	g cm⁻³
E_form	28.84	kcal/mol of atoms

***

## In2MoAu (PBEsol)

Data for a relaxed In2MoAu crystal.

Cell and atoms, written as CIF:
```
data_In2MoAu
_symmetry_space_group_name_H-M 'C 1 2/m 1'
_symmetry_Int_Tables_number 12
_cell_length_a 9.440
_cell_length_b 2.936
_cell_length_c 5.434
_cell_angle_alpha 90.00
_cell_angle_beta 101.87
_cell_angle_gamma 90.00
loop_
_symmetry_equiv_pos_as_xyz
'x,y,z'
'-x,-y,-z'
'-x,y,-z'
'x,-y,z'
'x+1/2,y+1/2,z'
'-x+1/2,-y+1/2,-z'
'-x+1/2,y+1/2,-z'
'x+1/2,-y+1/2,z'
loop_
_atom_site_label
_atom_site_type_symbol
_atom_site_fract_x
_atom_site_fract_y
_atom_site_fract_z
In1 In 0.249 0.000 0.255
Mo1 Mo 0.000 0.000 0.500
Au1 Au 0.000 0.500 0.000
```

## Properties
DOS at the Fermi energy	4.239	states/eV per cell
final energy	-41.25	eV for the cell shown
polymorph energy (0 for the lowest one)	0.516	eV/f.u.
density	11.774	g cm⁻³
E_form	5.96	kcal/mol of atoms